Density functional theory data (PBE-GGA) for an optimized crystal structure of Sr4LiSm3Se8.

total magnetization: 0.0 Bohr magnetons per cell
Fermi-level density of states: 0.2683 states/eV/atom
formation energy without anion corrections: -1885 meV per atom

Cell: 8.5491 8.5491 21.1618 Å, 90.00 90.00 120.00°
Space group R-3m (No. 166, hexagonal axes)
Symmetry-distinct sites (fractional):
Sr  0.0000  0.0000  0.0000 x3
Sr  0.0000  0.5000  0.0000 x9
Li  0.0000  0.0000  0.5000 x3
Sm  0.0000  0.5000  0.5000 x9
Se  0.0000  0.0000  0.2455 x6
Se  0.0012  0.5006  0.2442 x18